Zr2VMo | PBE | optimized geometry

The structure belongs to space group Fm-3m (No. 225); the cell edges are 6.722, 6.722 and 6.722 Å and the angles 90.00°, 90.00° and 90.00°. The asymmetric unit holds Zr at (0.250, 0.250, 0.250), V at (0.000, 0.000, 0.000) and Mo at (0.000, 0.000, 0.500).

As for the crystal system: cubic. As for the formation energy: 0.35 eV per formula unit. The value obtained for the calculated volume is 303.7 Å³/cell.

=====

CaNi3 | PBE | optimized geometry

The structure belongs to space group P-6m2 (No. 187); the cell edges are 3.5304, 3.5304 and 6.4675 Å and the angles 90.00°, 90.00° and 120.00°. The asymmetric unit holds Ca at (0.0000, 0.0000, 0.0000), Ni at (0.0000, 0.0000, 0.5000) and Ni at (0.6667, 0.3333, 0.3172).

As for the crystal system: hexagonal. As for the formation energy: 1.70 eV per formula unit. The value obtained for the calculated volume is 69.8 Å³/cell.

=====

SiAs2Au | PBE | optimized geometry

The structure belongs to space group C2/m (No. 12); the cell edges are 11.410, 3.586 and 4.196 Å and the angles 90.00°, 109.46° and 90.00°. The asymmetric unit holds Si at (0.000, 0.000, 0.000), As at (0.174, 0.500, 0.090) and Au at (0.000, 0.500, 0.500).

As for the crystal system: monoclinic. The value obtained for the calculated volume is 161.9 Å³/cell. Its uncorrected formation energy is 0.8 eV/f.u.

=====

Ca2Pm4Pr5 | PBE | optimized geometry

The structure belongs to space group C2/m (No. 12); the cell edges are 20.177, 5.937 and 6.673 Å and the angles 90.00°, 93.28° and 90.00°. The asymmetric unit holds Ca at (0.040, 0.000, 0.293), Pm at (0.100, 0.500, 0.552), Pm at (0.128, 0.000, 0.867), Pr at (0.000, 0.500, 0.000), Pr at (0.193, 0.500, 0.076) and Pr at (0.213, 0.000, 0.394).

As for the crystal system: monoclinic. As for the formation energy: 1.10 eV per formula unit. The value obtained for the calculated volume is 798.0 Å³/cell.

=====

Th3NbC4 | PBE | optimized geometry

The structure belongs to space group Pmn2_1 (No. 31); the cell edges are 7.824, 7.231 and 5.645 Å and the angles 90.00°, 90.00° and 90.00°. The asymmetric unit holds Th at (0.000, 0.132, 0.000), Th at (0.248, 0.337, 0.503), Nb at (0.000, 0.825, 0.492), C at (0.000, 0.119, 0.534), C at (0.000, 0.815, 0.135) and C at (0.236, 0.681, 0.550).

As for the crystal system: orthorhombic. As for the formation energy: -0.94 eV per formula unit. The value obtained for the calculated volume is 319.3 Å³/cell.

=====

VTcPd | PBE | optimized geometry

The structure belongs to space group I4mm (No. 107); the cell edges are 3.062, 3.062 and 9.463 Å and the angles 90.00°, 90.00° and 90.00°. The asymmetric unit holds V at (0.000, 0.000, 0.000), Tc at (0.000, 0.000, 0.630) and Pd at (0.000, 0.000, 0.327).

As for the crystal system: tetragonal. As for the formation energy: -0.05 eV per formula unit. The value obtained for the calculated volume is 88.7 Å³/cell.